Material: Cd2AgAs
Method: DFT, PBE
State: relaxed

```
data_Cd2AgAs
_cell_length_a 10.9729
_cell_length_b 3.0084
_cell_length_c 5.2294
_cell_angle_alpha 90.00
_cell_angle_beta 104.94
_cell_angle_gamma 90.00
_symmetry_space_group_name_H-M 'C 1 m 1'
_symmetry_Int_Tables_number 8
_symmetry_space_group_name_Hall 'C -2y'
loop_
_atom_site_label
_atom_site_type_symbol
_atom_site_fract_x
_atom_site_fract_y
_atom_site_fract_z
Cd1 Cd 0.0000 0.0000 0.0000
Cd2 Cd 0.2210 0.0000 0.6768
Ag1 Ag 0.4802 0.0000 0.5032
As1 As 0.2693 0.5000 0.2055
```

VASP energy: -2.264 eV/atom
calculated volume: 20.8 Å³ per atom
D(E_F): 0.19 states/eV/atom
M_tot: 0.00 μB per cell
formation energy: 69 meV per atom